Record 1
The following is a PBE calculation of Ti2H6W after structural relaxation, from Alexandria.

Lattice parameters (Å, degrees): 5.3891 5.3891 3.1108 106.64 106.64 47.93
With the nearest neighbours (Å) after each atom.
Positions (direct):
1 Ti 0.1650 0.1650 0.1651  8 H 1.90-1.92
2 Ti 0.8350 0.8350 0.8349  8 H 1.90-1.92
3 H 0.0873 0.5815 0.3344  1 W 1.89, 3 Ti 1.91-1.92
4 H 0.2541 0.7459 0.0000  2 W 1.89, 2 Ti 1.90
5 H 0.4185 0.9127 0.6656  1 W 1.89, 3 Ti 1.91-1.92
6 H 0.5815 0.0873 0.3344  1 W 1.89, 3 Ti 1.91-1.92
7 H 0.7459 0.2541 0.0000  2 W 1.89, 2 Ti 1.90
8 H 0.9127 0.4185 0.6656  1 W 1.89, 3 Ti 1.91-1.92
9 W 0.5000 0.5000 0.5000  8 H 1.89

Computed properties:
D(E_F) = 2.71 states/eV/f.u.
Calculated total energy = -5.706 eV/atom
Spin magnetization = 0.00 μB/cell
V = 63.7 Å³/cell


Record 2
The following is a PBE calculation of TiHW3 after structural relaxation, from Alexandria.

Lattice parameters (Å, degrees): 4.0808 4.0808 4.0808 90.00 90.00 90.00
With the nearest neighbours (Å) after each atom.
Positions (direct):
1 Ti 0.0000 0.0000 0.0000  12 W 2.89
2 H 0.5000 0.5000 0.5000  6 W 2.04
3 W 0.0000 0.5000 0.5000  2 H 2.04
4 W 0.5000 0.0000 0.5000  2 H 2.04
5 W 0.5000 0.5000 0.0000  2 H 2.04

Computed properties:
D(E_F) = 5.03 states/eV/f.u.
Spin magnetization = 0.00 μB/cell
Offset from the most stable computed form = 0 meV/atom
V = 68.0 Å³/cell


Record 3
The following is a PBE calculation of TiHW2 after structural relaxation, from Alexandria.

Lattice parameters (Å, degrees): 4.2840 4.2840 4.2840 60.00 60.00 60.00
With the nearest neighbours (Å) after each atom.
Positions (direct):
1 Ti 0.0000 0.0000 0.0000  8 W 2.62
2 H 0.5000 0.5000 0.5000  8 W 2.62
3 W 0.2500 0.2500 0.2500  4 H 2.62, 4 Ti 2.62
4 W 0.7500 0.7500 0.7500  4 H 2.62, 4 Ti 2.62

Computed properties:
D(E_F) = 5.06 states/eV/f.u.
Spin magnetization = 0.00 μB/cell
Offset from the most stable computed form = 667 meV/atom
V = 55.6 Å³/cell


Record 4
The following is a PBE calculation of TiH2W after structural relaxation, from Alexandria.

Lattice parameters (Å, degrees): 3.7661 3.7661 3.7661 60.00 60.00 60.00
With the nearest neighbours (Å) after each atom.
Positions (direct):
1 Ti 0.0000 0.0000 0.0000  8 H 2.31
2 H 0.2500 0.2500 0.2500  4 W 2.31, 4 Ti 2.31
3 H 0.7500 0.7500 0.7500  4 W 2.31, 4 Ti 2.31
4 W 0.5000 0.5000 0.5000  8 H 2.31

Computed properties:
D(E_F) = 3.05 states/eV/f.u.
Spin magnetization = 0.00 μB/cell
Offset from the most stable computed form = 655 meV/atom
V = 37.8 Å³/cell


Record 5
The following is a PBE calculation of Ti2ZnHW after structural relaxation, from Alexandria.

Lattice parameters (Å, degrees): 4.1830 4.1830 3.7302 90.00 90.00 90.00
With the nearest neighbours (Å) after each atom.
Positions (direct):
1 Ti 0.0000 0.5000 0.0000  2 H 2.09
2 Ti 0.5000 0.0000 0.0000  2 H 2.09
3 Zn 0.0000 0.0000 0.5000  8 Ti 2.80, 4 W 2.96
4 H 0.5000 0.5000 0.0000  2 W 1.87
5 W 0.5000 0.5000 0.5000  2 H 1.87

Computed properties:
D(E_F) = 4.49 states/eV/f.u.
Calculated total energy = -6.786 eV/atom
Spin magnetization = 0.00 μB/cell
V = 65.3 Å³/cell


Record 6
The following is a PBE calculation of Y3TiH after structural relaxation, from Alexandria.

Lattice parameters (Å, degrees): 5.4040 5.4040 5.4040 90.00 90.00 90.00
With the nearest neighbours (Å) after each atom.
Positions (direct):
1 Y 0.0000 0.0000 0.5000  2 Ti 2.70
2 Y 0.0000 0.5000 0.0000  2 Ti 2.70
3 Y 0.5000 0.0000 0.0000  2 Ti 2.70
4 Ti 0.0000 0.0000 0.0000  6 Y 2.70
5 H 0.5000 0.5000 0.5000  12 Y 3.82

Computed properties:
D(E_F) = 6.18 states/eV/f.u.
Spin magnetization = 0.00 μB/cell
Offset from the most stable computed form = 1009 meV/atom
V = 157.8 Å³/cell


Record 7
The following is a PBE calculation of Y2TiH after structural relaxation, from Alexandria.

Lattice parameters (Å, degrees): 6.0323 6.0323 6.0323 110.18 110.18 108.05
With the nearest neighbours (Å) after each atom.
Positions (direct):
1 Y 0.0188 0.6250 0.8938  2 H 2.18
2 Y 0.3750 0.2688 0.3938  2 H 2.18
3 Y 0.7312 0.1250 0.1062  2 H 2.18
4 Y 0.8750 0.9812 0.6062  2 H 2.18
5 Ti 0.2500 0.7500 0.5000  8 Y 3.13-3.32
6 Ti 0.5000 0.5000 0.0000  8 Y 3.13-3.32
7 H 0.0000 0.0000 0.0000  4 Y 2.18
8 H 0.7500 0.2500 0.5000  4 Y 2.18

Computed properties:
D(E_F) = 5.23 states/eV/f.u.
Spin magnetization = 1.94 μB/cell
Offset from the most stable computed form = 0 meV/atom
V = 168.9 Å³/cell


Record 8
The following is a PBE calculation of YTi2H2 after structural relaxation, from Alexandria.

Lattice parameters (Å, degrees): 5.9553 5.9553 5.9553 144.38 144.38 51.26
With the nearest neighbours (Å) after each atom.
Positions (direct):
1 Y 0.0000 0.0000 0.0000  8 H 3.24, 10 Ti 3.26-3.33
2 Ti 0.3038 0.3038 0.0000  4 H 1.91
3 Ti 0.6962 0.6962 0.0000  4 H 1.91
4 H 0.2500 0.7500 0.5000  4 Ti 1.91
5 H 0.7500 0.2500 0.5000  4 Ti 1.91

Computed properties:
D(E_F) = 3.36 states/eV/f.u.
Calculated total energy = -5.973 eV/atom
Spin magnetization = 0.00 μB/cell
V = 71.2 Å³/cell


Record 9
The following is a PBE calculation of Y5Ti3H12 after structural relaxation, from Alexandria.

Lattice parameters (Å, degrees): 10.6982 10.6982 10.6982 109.47 109.47 109.47
With the nearest neighbours (Å) after each atom.
Positions (direct):
1 Y 0.0000 0.0000 0.0000  6 H 2.17
2 Y 0.0000 0.0000 0.5000  6 H 2.17
3 Y 0.0000 0.5000 0.0000  6 H 2.17
4 Y 0.0000 0.5000 0.5000  6 H 2.17
5 Y 0.1250 0.7500 0.8750  4 H 2.15
6 Y 0.1250 0.8750 0.2500  4 H 2.15
7 Y 0.2500 0.1250 0.8750  4 H 2.15
8 Y 0.2500 0.6250 0.3750  4 H 2.15
9 Y 0.3750 0.2500 0.6250  4 H 2.15
10 Y 0.3750 0.6250 0.7500  4 H 2.15
11 Y 0.5000 0.0000 0.0000  6 H 2.17
12 Y 0.5000 0.0000 0.5000  6 H 2.17
13 Y 0.5000 0.5000 0.0000  6 H 2.17
14 Y 0.5000 0.5000 0.5000  6 H 2.17
15 Y 0.6250 0.3750 0.2500  4 H 2.15
16 Y 0.6250 0.7500 0.3750  4 H 2.15
17 Y 0.7500 0.3750 0.6250  4 H 2.15
18 Y 0.7500 0.8750 0.1250  4 H 2.15
19 Y 0.8750 0.1250 0.7500  4 H 2.15
20 Y 0.8750 0.2500 0.1250  4 H 2.15
21 Ti 0.1250 0.2500 0.3750  4 H 1.95
22 Ti 0.1250 0.3750 0.7500  4 H 1.95
23 Ti 0.2500 0.3750 0.1250  4 H 1.95
24 Ti 0.2500 0.8750 0.6250  4 H 1.95
25 Ti 0.3750 0.1250 0.2500  4 H 1.95
26 Ti 0.3750 0.7500 0.1250  4 H 1.95
27 Ti 0.6250 0.2500 0.8750  4 H 1.95
28 Ti 0.6250 0.8750 0.7500  4 H 1.95
29 Ti 0.7500 0.1250 0.3750  4 H 1.95
30 Ti 0.7500 0.6250 0.8750  4 H 1.95
31 Ti 0.8750 0.6250 0.2500  4 H 1.95
32 Ti 0.8750 0.7500 0.6250  4 H 1.95
33 H 0.0551 0.7285 0.6522  1 Ti 1.95, 1 H 1.98, 2 Y 2.15-2.17
34 H 0.0551 0.8266 0.4028  1 Ti 1.95, 1 H 1.98, 2 Y 2.15-2.17
35 H 0.0763 0.2285 0.1734  1 Ti 1.95, 1 H 1.98, 2 Y 2.15-2.17
36 H 0.0763 0.3478 0.9028  1 Ti 1.95, 1 H 1.98, 2 Y 2.15-2.17
37 H 0.0972 0.6734 0.4449  1 Ti 1.95, 1 H 1.98, 2 Y 2.15-2.17
38 H 0.0972 0.9237 0.6522  1 Ti 1.95, 1 H 1.98, 2 Y 2.15-2.17
39 H 0.1522 0.2285 0.5551  1 Ti 1.95, 1 H 1.98, 2 Y 2.15-2.17
40 H 0.1522 0.4237 0.5972  1 Ti 1.95, 1 H 1.98, 2 Y 2.15-2.17
41 H 0.1734 0.0763 0.2285  1 Ti 1.95, 1 H 1.98, 2 Y 2.15-2.17
42 H 0.1734 0.5972 0.9449  1 Ti 1.95, 1 H 1.98, 2 Y 2.15-2.17
43 H 0.2285 0.1734 0.0763  1 Ti 1.95, 1 H 1.98, 2 Y 2.15-2.17
44 H 0.2285 0.5551 0.1522  1 Ti 1.95, 1 H 1.98, 2 Y 2.15-2.17
45 H 0.2715 0.3478 0.9449  1 Ti 1.95, 1 H 1.98, 2 Y 2.15-2.17
46 H 0.2715 0.4237 0.3266  1 Ti 1.95, 1 H 1.98, 2 Y 2.15-2.17
47 H 0.3266 0.2715 0.4237  1 Ti 1.95, 1 H 1.98, 2 Y 2.15-2.17
48 H 0.3266 0.5551 0.9028  1 Ti 1.95, 1 H 1.98, 2 Y 2.15-2.17
49 H 0.3478 0.9028 0.0763  1 Ti 1.95, 1 H 1.98, 2 Y 2.15-2.17
50 H 0.3478 0.9449 0.2715  1 Ti 1.95, 1 H 1.98, 2 Y 2.15-2.17
51 H 0.4028 0.0551 0.8266  1 Ti 1.95, 1 H 1.98, 2 Y 2.15-2.17
52 H 0.4028 0.8478 0.5763  1 Ti 1.95, 1 H 1.98, 2 Y 2.15-2.17
53 H 0.4237 0.3266 0.2715  1 Ti 1.95, 1 H 1.98, 2 Y 2.15-2.17
54 H 0.4237 0.5972 0.1522  1 Ti 1.95, 1 H 1.98, 2 Y 2.15-2.17
55 H 0.4449 0.0972 0.6734  1 Ti 1.95, 1 H 1.98, 2 Y 2.15-2.17
56 H 0.4449 0.8478 0.7715  1 Ti 1.95, 1 H 1.98, 2 Y 2.15-2.17
57 H 0.5551 0.1522 0.2285  1 Ti 1.95, 1 H 1.98, 2 Y 2.15-2.17
58 H 0.5551 0.9028 0.3266  1 Ti 1.95, 1 H 1.98, 2 Y 2.15-2.17
59 H 0.5763 0.4028 0.8478  1 Ti 1.95, 1 H 1.98, 2 Y 2.15-2.17
60 H 0.5763 0.6734 0.7285  1 Ti 1.95, 1 H 1.98, 2 Y 2.15-2.17
61 H 0.5972 0.1522 0.4237  1 Ti 1.95, 1 H 1.98, 2 Y 2.15-2.17
62 H 0.5972 0.9449 0.1734  1 Ti 1.95, 1 H 1.98, 2 Y 2.15-2.17
63 H 0.6522 0.0551 0.7285  1 Ti 1.95, 1 H 1.98, 2 Y 2.15-2.17
64 H 0.6522 0.0972 0.9237  1 Ti 1.95, 1 H 1.98, 2 Y 2.15-2.17
65 H 0.6734 0.4449 0.0972  1 Ti 1.95, 1 H 1.98, 2 Y 2.15-2.17
66 H 0.6734 0.7285 0.5763  1 Ti 1.95, 1 H 1.98, 2 Y 2.15-2.17
67 H 0.7285 0.5763 0.6734  1 Ti 1.95, 1 H 1.98, 2 Y 2.15-2.17
68 H 0.7285 0.6522 0.0551  1 Ti 1.95, 1 H 1.98, 2 Y 2.15-2.17
69 H 0.7715 0.4449 0.8478  1 Ti 1.95, 1 H 1.98, 2 Y 2.15-2.17
70 H 0.7715 0.8266 0.9237  1 Ti 1.95, 1 H 1.98, 2 Y 2.15-2.17
71 H 0.8266 0.4028 0.0551  1 Ti 1.95, 1 H 1.98, 2 Y 2.15-2.17
72 H 0.8266 0.9237 0.7715  1 Ti 1.95, 1 H 1.98, 2 Y 2.15-2.17
73 H 0.8478 0.5763 0.4028  1 Ti 1.95, 1 H 1.98, 2 Y 2.15-2.17
74 H 0.8478 0.7715 0.4449  1 Ti 1.95, 1 H 1.98, 2 Y 2.15-2.17
75 H 0.9028 0.0763 0.3478  1 Ti 1.95, 1 H 1.98, 2 Y 2.15-2.17
76 H 0.9028 0.3266 0.5551  1 Ti 1.95, 1 H 1.98, 2 Y 2.15-2.17
77 H 0.9237 0.6522 0.0972  1 Ti 1.95, 1 H 1.98, 2 Y 2.15-2.17
78 H 0.9237 0.7715 0.8266  1 Ti 1.95, 1 H 1.98, 2 Y 2.15-2.17
79 H 0.9449 0.1734 0.5972  1 Ti 1.95, 1 H 1.98, 2 Y 2.15-2.17
80 H 0.9449 0.2715 0.3478  1 Ti 1.95, 1 H 1.98, 2 Y 2.15-2.17

Computed properties:
D(E_F) = 12.16 states/eV/f.u.
Calculated total energy = -5.126 eV/atom
Spin magnetization = 0.00 μB/cell
V = 942.6 Å³/cell


Record 10
The following is a PBE calculation of YTi3H after structural relaxation, from Alexandria.

Lattice parameters (Å, degrees): 4.9781 4.9781 4.9781 90.00 90.00 90.00
With the nearest neighbours (Å) after each atom.
Positions (direct):
1 Y 0.0000 0.0000 0.0000  6 Ti 2.49
2 Ti 0.0000 0.0000 0.5000  2 Y 2.49
3 Ti 0.0000 0.5000 0.0000  2 Y 2.49
4 Ti 0.5000 0.0000 0.0000  2 Y 2.49
5 H 0.5000 0.5000 0.5000  12 Ti 3.52

Computed properties:
D(E_F) = 5.51 states/eV/f.u.
Spin magnetization = 3.12 μB/cell
Offset from the most stable computed form = 2039 meV/atom
V = 123.4 Å³/cell